(1)
## MnHg2Br (GGA-PBE)

Data for a geometry-optimized MnHg2Br structure.

Geometry as CIF:
```
data_MnHg2Br
_chemical_formula_sum 'Mn1 Hg2 Br1'
_cell_length_a 4.157
_cell_length_b 4.157
_cell_length_c 5.913
_cell_angle_alpha 90.00
_cell_angle_beta 90.00
_cell_angle_gamma 90.00
_symmetry_space_group_name_H-M 'P 4/m m m'
_symmetry_Int_Tables_number 123
_symmetry_space_group_name_Hall '-P 4 2'
loop_
_atom_site_label
_atom_site_fract_x
_atom_site_fract_y
_atom_site_fract_z
Mn1 0.000 0.000 0.000
Hg1 0.000 0.500 0.500
Br1 0.500 0.500 0.000
```

Computed properties:
Formation energy from raw total energies, kJ per mole of atoms: 20.9
Relative energy among the computed polymorphs, meV/atom: 241
Volume, Å³ per cell: 102
Total magnetization, μB/cell: 4.746
VASP energy, eV for the cell shown: -10.58


(2)
## Mn2HgBr (GGA-PBE)

Data for a geometry-optimized Mn2HgBr structure.

Geometry as CIF:
```
data_Mn2HgBr
_chemical_formula_sum 'Mn2 Hg1 Br1'
_cell_length_a 3.295
_cell_length_b 3.835
_cell_length_c 6.889
_cell_angle_alpha 90.00
_cell_angle_beta 90.00
_cell_angle_gamma 90.00
_symmetry_space_group_name_H-M 'P m m m'
_symmetry_Int_Tables_number 47
loop_
_symmetry_equiv_pos_as_xyz
'x,y,z'
'-x,-y,-z'
'-x,-y,z'
'x,y,-z'
'x,-y,-z'
'-x,y,z'
'-x,y,-z'
'x,-y,z'
loop_
_atom_site_label
_atom_site_fract_x
_atom_site_fract_y
_atom_site_fract_z
Mn1 0.000 0.000 0.194
Hg1 0.500 0.500 0.000
Br1 0.500 0.000 0.500
```

Computed properties:
Formation energy from raw total energies, kJ per mole of atoms: 22.9
Relative energy among the computed polymorphs, meV/atom: 32
Volume, Å³ per cell: 87
Total magnetization, μB/cell: 7.820
VASP energy, eV for the cell shown: -19.37


(3)
## MnHg3Br (GGA-PBE)

Data for a geometry-optimized MnHg3Br structure.

Geometry as CIF:
```
data_MnHg3Br
_chemical_formula_sum 'Mn1 Hg3 Br1'
_cell_length_a 6.090
_cell_length_b 6.090
_cell_length_c 6.090
_cell_angle_alpha 90.00
_cell_angle_beta 90.00
_cell_angle_gamma 90.00
_symmetry_space_group_name_H-M 'P m -3 m'
_symmetry_Int_Tables_number 221
_symmetry_space_group_name_Hall '-P 4 2 3'
loop_
_atom_site_label
_atom_site_fract_x
_atom_site_fract_y
_atom_site_fract_z
Mn1 0.000 0.000 0.000
Hg1 0.000 0.500 0.500
Br1 0.500 0.500 0.500
```

Computed properties:
Formation energy from raw total energies, kJ per mole of atoms: 74.9
Relative energy among the computed polymorphs, meV/atom: 623
Volume, Å³ per cell: 226
Total magnetization, μB/cell: 5.363
VASP energy, eV for the cell shown: -7.87


(4)
## MnHg2Br (GGA-PBE)

Data for a geometry-optimized MnHg2Br structure.

Geometry as CIF:
```
data_MnHg2Br
_chemical_formula_sum 'Mn4 Hg8 Br4'
_cell_length_a 7.502
_cell_length_b 7.502
_cell_length_c 7.502
_cell_angle_alpha 90.00
_cell_angle_beta 90.00
_cell_angle_gamma 90.00
_symmetry_space_group_name_H-M 'F m -3 m'
_symmetry_Int_Tables_number 225
_symmetry_space_group_name_Hall '-F 4 2 3'
loop_
_atom_site_label
_atom_site_fract_x
_atom_site_fract_y
_atom_site_fract_z
Mn1 0.000 0.000 0.000
Hg1 0.250 0.250 0.250
Br1 0.000 0.000 0.500
```

Computed properties:
Formation energy from raw total energies, kJ per mole of atoms: 36.2
Relative energy among the computed polymorphs, meV/atom: 399
Volume, Å³ per cell: 422
Total magnetization, μB/cell: 21.840
VASP energy, eV for the cell shown: -39.78


(5)
## Mn2HgBr (GGA-PBE)

Data for a geometry-optimized Mn2HgBr structure.

Geometry as CIF:
```
data_Mn2HgBr
_chemical_formula_sum 'Mn2 Hg1 Br1'
_cell_length_a 3.242
_cell_length_b 5.064
_cell_length_c 5.065
_cell_angle_alpha 90.00
_cell_angle_beta 90.01
_cell_angle_gamma 90.00
_symmetry_space_group_name_H-M 'P 1 m 1'
_symmetry_Int_Tables_number 6
loop_
_symmetry_equiv_pos_as_xyz
'x,y,z'
'x,-y,z'
loop_
_atom_site_label
_atom_site_fract_x
_atom_site_fract_y
_atom_site_fract_z
Mn1 0.000 0.000 0.000
Mn2 0.005 0.500 0.502
Hg1 0.500 0.500 0.001
Br1 0.995 0.000 0.500
```

Computed properties:
Formation energy from raw total energies, kJ per mole of atoms: 34.1
Relative energy among the computed polymorphs, meV/atom: 148
Volume, Å³ per cell: 83
Total magnetization, μB/cell: 8.061
VASP energy, eV for the cell shown: -18.90


(6)
## MnHg2Br (GGA-PBE)

Data for a geometry-optimized MnHg2Br structure.

Geometry as CIF:
```
data_MnHg2Br
_chemical_formula_sum 'Mn2 Hg4 Br2'
_cell_length_a 5.031
_cell_length_b 12.652
_cell_length_c 3.547
_cell_angle_alpha 90.00
_cell_angle_beta 90.00
_cell_angle_gamma 90.00
_symmetry_space_group_name_H-M 'C m m m'
_symmetry_Int_Tables_number 65
_symmetry_space_group_name_Hall '-C 2 2'
loop_
_atom_site_label
_atom_site_fract_x
_atom_site_fract_y
_atom_site_fract_z
Mn1 0.000 0.000 0.000
Hg1 0.000 0.178 0.500
Br1 0.000 0.500 0.000
```

Computed properties:
Formation energy from raw total energies, kJ per mole of atoms: 0.7
Relative energy among the computed polymorphs, meV/atom: 32
Volume, Å³ per cell: 226
Total magnetization, μB/cell: 8.600
VASP energy, eV for the cell shown: -22.84